1.
Entry from Alexandria: B2IrPd after structural relaxation (GGA-PBE).

Calculated values
Formation enthalpy at 0 K   0.1606 eV per atom

a b c (Å): 5.8705 5.8705 5.8705
angles (deg): 132.26 132.26 69.82
Last column: nearest neighbours and their distance in Å.
Atoms (fractional coordinates):
B  0.1053  0.6250  0.9803  2 Ir 2.01, 2 Pd 2.12
B  0.3750  0.3553  0.4803  2 Ir 2.01, 2 Pd 2.12
B  0.6447  0.1250  0.0197  2 Ir 2.01, 2 Pd 2.12
B  0.8750  0.8947  0.5197  2 Ir 2.01, 2 Pd 2.12
Ir  0.0000  0.0000  0.0000  4 B 2.01
Ir  0.7500  0.2500  0.5000  4 B 2.01
Pd  0.2500  0.7500  0.5000  4 B 2.12
Pd  0.5000  0.5000  0.0000  4 B 2.12


2.
Entry from Alexandria: Li4Be after structural relaxation (GGA-PBE).

Calculated values
Formation enthalpy at 0 K   0.3861 eV per atom

a b c (Å): 4.6910 4.6910 4.6910
angles (deg): 90.00 90.00 90.00
Last column: nearest neighbours and their distance in Å.
Atoms (fractional coordinates):
Li  0.0000  0.0000  0.0000  12 Li 3.32
Li  0.0000  0.5000  0.5000  2 Be 2.35
Li  0.5000  0.0000  0.5000  2 Be 2.35
Li  0.5000  0.5000  0.0000  2 Be 2.35
Be  0.5000  0.5000  0.5000  6 Li 2.35


3.
Entry from Alexandria: Ta2NbSe2 after structural relaxation (GGA-PBE).

Calculated values
ΔE_f (raw)   -1.86 eV/f.u.

a b c (Å): 3.2616 3.2616 11.4873
angles (deg): 90.19 90.19 59.98
Last column: nearest neighbours and their distance in Å.
Atoms (fractional coordinates):
Ta  0.1684  0.1684  0.1926  3 Se 2.59
Ta  0.8316  0.8316  0.8074  3 Se 2.59
Nb  0.5000  0.5000  0.0000  6 Ta 2.90-2.91
Se  0.1636  0.1636  0.6525  3 Ta 2.59
Se  0.8364  0.8364  0.3475  3 Ta 2.59


4.
Entry from Alexandria: TlSiAu after structural relaxation (GGA-PBE).

Calculated values
ΔE_f (raw)   0.27 eV/f.u.

a b c (Å): 4.5457 3.8115 7.7801
angles (deg): 90.00 97.46 90.00
Last column: nearest neighbours and their distance in Å.
Atoms (fractional coordinates):
Tl  0.2176  0.2500  0.3770  5 Au 3.11-3.43, 1 Si 3.18
Tl  0.7824  0.7500  0.6230  5 Au 3.11-3.43, 1 Si 3.18
Si  0.1638  0.7500  0.9950  2 Si 2.43, 3 Au 2.48-2.69
Si  0.8362  0.2500  0.0050  2 Si 2.43, 3 Au 2.48-2.69
Au  0.3717  0.2500  0.7992  3 Si 2.48-2.69
Au  0.6283  0.7500  0.2008  3 Si 2.48-2.69


5.
Entry from Alexandria: SiAsC2 after structural relaxation (GGA-PBE).

Calculated values
ΔE_f (raw)   2.58 eV/f.u.

a b c (Å): 3.1737 3.1737 4.7547
angles (deg): 95.60 95.60 83.99
Last column: nearest neighbours and their distance in Å.
Atoms (fractional coordinates):
Si  0.0000  0.0000  0.0000  4 C 1.90-1.91
As  0.5299  0.4701  0.5000  4 C 1.99-2.16
C  0.0165  0.5329  0.2244  2 Si 1.90-1.91, 1 As 1.99
C  0.4671  0.9835  0.7756  2 Si 1.90-1.91, 1 As 1.99


6.
Entry from Alexandria: Sc12In3Tc after structural relaxation (GGA-PBE).

Calculated values
Formation enthalpy at 0 K   -0.2170 eV per atom

a b c (Å): 4.5058 4.5058 17.6373
angles (deg): 90.00 90.00 90.00
Last column: nearest neighbours and their distance in Å.
Atoms (fractional coordinates):
Sc  0.0000  0.0000  0.0000  8 Sc 2.96, 4 Tc 3.19
Sc  0.0000  0.0000  0.2429  4 In 3.19, 8 Sc 3.19-3.26
Sc  0.0000  0.0000  0.5000  4 In 3.19, 8 Sc 3.20
Sc  0.0000  0.0000  0.7571  4 In 3.19, 8 Sc 3.19-3.26
Sc  0.0000  0.5000  0.1091  2 Tc 2.96, 8 Sc 2.96-3.26, 2 In 3.28
Sc  0.0000  0.5000  0.3710  4 In 3.18-3.20, 8 Sc 3.19-3.20
Sc  0.0000  0.5000  0.6290  4 In 3.18-3.20, 8 Sc 3.19-3.20
Sc  0.0000  0.5000  0.8909  2 Tc 2.96, 8 Sc 2.96-3.26, 2 In 3.28
Sc  0.5000  0.0000  0.1091  2 Tc 2.96, 8 Sc 2.96-3.26, 2 In 3.28
Sc  0.5000  0.0000  0.3710  4 In 3.18-3.20, 8 Sc 3.19-3.20
Sc  0.5000  0.0000  0.6290  4 In 3.18-3.20, 8 Sc 3.19-3.20
Sc  0.5000  0.0000  0.8909  2 Tc 2.96, 8 Sc 2.96-3.26, 2 In 3.28
In  0.5000  0.5000  0.2439  12 Sc 3.18-3.28
In  0.5000  0.5000  0.5000  12 Sc 3.19-3.20
In  0.5000  0.5000  0.7561  12 Sc 3.18-3.28
Tc  0.5000  0.5000  0.0000  12 Sc 2.96-3.19


7.
Entry from Alexandria: GaC after structural relaxation (GGA-PBE).

Calculated values
Formation enthalpy at 0 K   0.5438 eV per atom

a b c (Å): 3.2213 3.2213 5.8897
angles (deg): 90.00 90.00 120.00
Last column: nearest neighbours and their distance in Å.
Atoms (fractional coordinates):
Ga  0.0000  0.0000  0.2120  3 C 2.12
Ga  0.0000  0.0000  0.7880  3 C 2.12
C  0.6667  0.3333  0.3853  1 C 1.35
C  0.6667  0.3333  0.6147  1 C 1.35


8.
Entry from Alexandria: Tb2Pr6TmTh after structural relaxation (GGA-PBE).

Calculated values
Formation enthalpy at 0 K   0.1430 eV per atom

a b c (Å): 8.9083 8.9083 9.8670
angles (deg): 94.56 94.56 116.36
Last column: nearest neighbours and their distance in Å.
Atoms (fractional coordinates):
Tb  0.1984  0.2880  0.0499  5 Pr 3.31-3.54, 2 Th 3.41-3.47, 1 Tm 3.54
Tb  0.2880  0.1984  0.5499  5 Pr 3.31-3.54, 2 Th 3.41-3.47, 1 Tm 3.54
Tb  0.7120  0.8016  0.4501  5 Pr 3.31-3.54, 2 Th 3.41-3.47, 1 Tm 3.54
Tb  0.8016  0.7120  0.9501  5 Pr 3.31-3.54, 2 Th 3.41-3.47, 1 Tm 3.54
Pr  0.0080  0.5747  0.1891  3 Pr 3.38-3.79, 1 Tm 3.45, 1 Th 3.49, 1 Tb 3.49
Pr  0.1094  0.7562  0.5562  7 Pr 3.49-3.87, 2 Tb 3.54-3.81, 2 Th 3.62-3.91
Pr  0.2438  0.8906  0.9438  7 Pr 3.49-3.87, 2 Tb 3.54-3.81, 2 Th 3.62-3.91
Pr  0.2999  0.5092  0.3813  3 Tb 3.31-3.51, 3 Pr 3.37-3.49, 2 Tm 3.42-3.62
Pr  0.4253  0.9920  0.3109  3 Pr 3.38-3.79, 1 Tm 3.45, 1 Th 3.49, 1 Tb 3.49
Pr  0.4908  0.7001  0.1187  3 Tb 3.31-3.51, 3 Pr 3.37-3.49, 2 Tm 3.42-3.62
Pr  0.5092  0.2999  0.8813  3 Tb 3.31-3.51, 3 Pr 3.37-3.49, 2 Tm 3.42-3.62
Pr  0.5747  0.0080  0.6891  3 Pr 3.38-3.79, 1 Tm 3.45, 1 Th 3.49, 1 Tb 3.49
Pr  0.7001  0.4908  0.6187  3 Tb 3.31-3.51, 3 Pr 3.37-3.49, 2 Tm 3.42-3.62
Pr  0.7562  0.1094  0.0562  7 Pr 3.49-3.87, 2 Tb 3.54-3.81, 2 Th 3.62-3.91
Pr  0.8906  0.2438  0.4438  7 Pr 3.49-3.87, 2 Tb 3.54-3.81, 2 Th 3.62-3.91
Pr  0.9920  0.4253  0.8109  3 Pr 3.38-3.79, 1 Tm 3.45, 1 Th 3.49, 1 Tb 3.49
Tm  0.4081  0.5919  0.7500  6 Pr 3.42-3.62, 2 Tb 3.54
Tm  0.5919  0.4081  0.2500  6 Pr 3.42-3.62, 2 Tb 3.54
Th  0.0260  0.9740  0.2500  4 Tb 3.41-3.47, 4 Pr 3.49-3.62
Th  0.9740  0.0260  0.7500  4 Tb 3.41-3.47, 4 Pr 3.49-3.62


9.
Entry from Alexandria: SiBi2MoPt after structural relaxation (GGA-PBE).

Calculated values
ΔE_f (raw)   5.35 eV/f.u.

a b c (Å): 5.2353 5.2353 4.5699
angles (deg): 90.00 90.00 90.00
Last column: nearest neighbours and their distance in Å.
Atoms (fractional coordinates):
Si  0.0000  0.0000  0.0000  2 Mo 2.28
Bi  0.0000  0.5000  0.0000  2 Si 2.62
Bi  0.5000  0.0000  0.0000  2 Si 2.62
Mo  0.0000  0.0000  0.5000  2 Si 2.28
Pt  0.5000  0.5000  0.5000  8 Bi 3.47, 4 Mo 3.70


10.
Entry from Alexandria: SrPm2PrAs4 after structural relaxation (GGA-PBE).

Calculated values
Formation enthalpy at 0 K   -1.3444 eV per atom

a b c (Å): 7.4706 4.2986 7.4908
angles (deg): 90.00 109.36 90.00
Last column: nearest neighbours and their distance in Å.
Atoms (fractional coordinates):
Sr  0.0000  0.0000  0.0000  6 As 3.11-3.12
Pm  0.0000  0.5000  0.5000  6 As 3.03-3.04
Pm  0.5000  0.0000  0.5000  6 As 2.98-2.99
Pr  0.5000  0.5000  0.0000  6 As 3.07
As  0.2521  0.0000  0.7421  3 Pm 2.99-3.03, 2 Pr 3.07, 1 Sr 3.11
As  0.2602  0.5000  0.2630  3 Pm 2.98-3.04, 1 Pr 3.07, 2 Sr 3.12
As  0.7398  0.5000  0.7370  3 Pm 2.98-3.04, 1 Pr 3.07, 2 Sr 3.12
As  0.7479  0.0000  0.2579  3 Pm 2.99-3.03, 2 Pr 3.07, 1 Sr 3.11


The uncorrected energy results, record by record, are as follows: -6.692, -1.890, -8.521, -3.597, -6.486, -6.127, -5.582, -4.840, -4.941, -5.664 eV/atom.